1.
A geometry-optimized ReAgMo2 structure, computed with PBE.

a = 3.3124 Å, b = 3.3124 Å, c = 5.9306 Å
α = 90.00°, β = 90.00°, γ = 90.00°
Fractional coordinates of all 4 atoms:
Mo 0.5000 0.5000 0.2541
Mo 0.0000 0.0000 0.0246
Re 0.0000 0.0000 0.4717
Ag 0.5000 0.5000 0.7496

Output
As for the space-group type: P4mm (99). As for the raw total energy: -8.76 eV per atom. The calculation puts the total magnetization at 0.0 Bohr magnetons per cell. Its offset from the most stable computed form is 0.1775 eV/atom. The calculation puts the formation energy at 480.3 meV per atom.

2.
A geometry-optimized ReAgMo structure, computed with PBE.

a = 4.8933 Å, b = 4.8933 Å, c = 4.8933 Å
α = 148.55°, β = 128.07°, γ = 61.99°
Fractional coordinates of all 3 atoms:
Mo 0.3331 0.3331 0.0000
Re 0.6661 0.6661 0.0000
Ag 0.0007 0.0007 0.0000

Output
As for the space-group type: Imm2 (44). As for the raw total energy: -8.25 eV per atom. The calculation puts the total magnetization at 0.0 Bohr magnetons per cell. Its offset from the most stable computed form is 0.0444 eV/atom. The calculation puts the formation energy at 457.6 meV per atom.

3.
A geometry-optimized ReAg2Mo structure, computed with PBE.

a = 4.8366 Å, b = 4.8366 Å, c = 4.8366 Å
α = 130.08°, β = 130.08°, γ = 73.27°
Fractional coordinates of all 4 atoms:
Re 0.7500 0.2500 0.5000
Mo 0.5000 0.5000 0.0000
Ag 0.0000 0.0000 0.0000
Ag 0.2500 0.7500 0.5000

Output
As for the space-group type: I-4m2 (119). As for the raw total energy: -6.58 eV per atom. The calculation puts the total magnetization at 0.0 Bohr magnetons per cell. Its offset from the most stable computed form is 0.3460 eV/atom. The calculation puts the formation energy at 664.4 meV per atom.